Density functional theory data (PBE) for crystalline Cd2I2Cl at its relaxed geometry.

a = 5.5919 Å, b = 5.5919 Å, c = 11.4494 Å
α = 90.00°, β = 90.00°, γ = 90.00°
With the nearest neighbours (Å) after each atom.
Space group I4/mmm (No. 139)
One atom of each set of equivalent atoms:
Cd: 0.0000 0.5000 0.2500 [4 per cell]  4 I 2.97
I: 0.0000 0.0000 0.1614 [4 per cell]  4 Cd 2.97
Cl: 0.0000 0.0000 0.5000 [2 per cell]  2 I 3.88, 8 Cd 4.00

As for the spin magnetization: 0.00 μB per formula unit. The calculation puts the energy relative to the elements, uncorrected at -0.27 eV/atom. The calculation puts the energy relative to the lowest polymorph listed for this composition at 248 meV/atom. Its density of states at the Fermi level is 2.9 states/eV per cell. As for the crystal system: tetragonal.